[1]
A plane-wave DFT calculation with PBE was carried out for HoN2 after structural relaxation.

## Properties
As for the crystal system: cubic. Its size of the total moment is 1.6 μB/cell. As for the total energy: -6.813 eV/atom.

Cell lengths 3.867, 3.867, 3.867 Å; angles 60.00, 60.00, 60.00 degrees
Fractional positions:
Ho (0.000, 0.000, 0.000)
N (0.250, 0.250, 0.250)
N (0.750, 0.750, 0.750)


[2]
A plane-wave DFT calculation with PBE was carried out for Pr3Mg3InAgPt after structural relaxation.

## Properties
As for the crystal system: hexagonal. Its size of the total moment is 0.1 μB/cell. As for the total energy: -3.915 eV/atom.

Cell lengths 8.024, 8.024, 4.120 Å; angles 90.00, 90.00, 120.00 degrees
Fractional positions:
Ag (0.000, 0.000, 0.000)
In (0.667, 0.333, 0.500)
Mg (0.245, 0.002, 0.500)
Mg (0.998, 0.244, 0.500)
Mg (0.756, 0.755, 0.500)
Pr (0.401, 0.428, 0.000)
Pr (0.027, 0.599, 0.000)
Pr (0.572, 0.973, 0.000)
Pt (0.333, 0.667, 0.500)